Entry 1:
PuTa2Mn | PBE | optimized geometry

CIF file:
```
data_PuTa2Mn
_chemical_formula_sum 'Pu1 Ta2 Mn1'
_cell_length_a 3.060
_cell_length_b 3.060
_cell_length_c 7.569
_cell_angle_alpha 90.00
_cell_angle_beta 90.00
_cell_angle_gamma 90.00
_symmetry_space_group_name_H-M 'P 1'
_symmetry_Int_Tables_number 1
_symmetry_space_group_name_Hall 'P 1'
loop_
_atom_site_label
_atom_site_type_symbol
_atom_site_fract_x
_atom_site_fract_y
_atom_site_fract_z
Pu1 Pu 0.000 0.000 0.000
Ta1 Ta 0.500 0.500 0.299
Ta2 Ta 0.500 0.500 0.701
Mn1 Mn 0.000 0.000 0.500
```

Properties
SG: P4/mmm, No. 123
Calculated formation energy in meV/atom: 113
Calculated total energy in eV/f.u.: -46.8
Total moment in μB/cell: 4.8

=====

Entry 2:
PuTaMn | PBE | optimized geometry

CIF file:
```
data_PuTaMn
_chemical_formula_sum 'Pu4 Ta4 Mn4'
_cell_length_a 8.961
_cell_length_b 5.743
_cell_length_c 4.519
_cell_angle_alpha 90.00
_cell_angle_beta 90.00
_cell_angle_gamma 90.00
_symmetry_space_group_name_H-M 'P 1'
_symmetry_Int_Tables_number 1
_symmetry_space_group_name_Hall 'P 1'
loop_
_atom_site_label
_atom_site_type_symbol
_atom_site_fract_x
_atom_site_fract_y
_atom_site_fract_z
Pu1 Pu 0.250 0.000 0.028
Pu2 Pu 0.250 0.500 0.928
Pu3 Pu 0.750 0.000 0.972
Pu4 Pu 0.750 0.500 0.072
Ta1 Ta 0.000 0.251 0.500
Ta2 Ta 0.000 0.749 0.500
Ta3 Ta 0.500 0.251 0.500
Ta4 Ta 0.500 0.749 0.500
Mn1 Mn 0.000 0.500 0.000
Mn2 Mn 0.250 0.000 0.522
Mn3 Mn 0.500 0.500 0.000
Mn4 Mn 0.750 0.000 0.478
```

Properties
SG: Pmma, No. 51
Calculated formation energy in meV/atom: 363
Calculated total energy in eV/f.u.: -34.3
Total moment in μB/cell: 15.6

=====

Entry 3:
PuTaMn2 | PBE | optimized geometry

CIF file:
```
data_PuTaMn2
_chemical_formula_sum 'Pu1 Ta1 Mn2'
_cell_length_a 3.071
_cell_length_b 3.071
_cell_length_c 6.942
_cell_angle_alpha 90.00
_cell_angle_beta 90.00
_cell_angle_gamma 90.00
_symmetry_space_group_name_H-M 'P 1'
_symmetry_Int_Tables_number 1
_symmetry_space_group_name_Hall 'P 1'
loop_
_atom_site_label
_atom_site_type_symbol
_atom_site_fract_x
_atom_site_fract_y
_atom_site_fract_z
Pu1 Pu 0.000 0.000 0.000
Ta1 Ta 0.000 0.000 0.500
Mn1 Mn 0.500 0.500 0.282
Mn2 Mn 0.500 0.500 0.718
```

Properties
SG: P4/mmm, No. 123
Calculated formation energy in meV/atom: 43
Calculated total energy in eV/f.u.: -44.4
Total moment in μB/cell: 2.2
Relative energy among the computed polymorphs in meV per atom: 0.0

=====

Entry 4:
TbPu2Mn2 | PBE | optimized geometry

CIF file:
```
data_TbPu2Mn2
_chemical_formula_sum 'Tb1 Pu2 Mn2'
_cell_length_a 4.279
_cell_length_b 4.279
_cell_length_c 6.451
_cell_angle_alpha 106.57
_cell_angle_beta 106.57
_cell_angle_gamma 89.49
_symmetry_space_group_name_H-M 'P 1'
_symmetry_Int_Tables_number 1
_symmetry_space_group_name_Hall 'P 1'
loop_
_atom_site_label
_atom_site_type_symbol
_atom_site_fract_x
_atom_site_fract_y
_atom_site_fract_z
Tb1 Tb 0.000 0.000 0.000
Pu1 Pu 0.244 0.756 0.500
Pu2 Pu 0.756 0.244 0.500
Mn1 Mn 0.421 0.421 0.786
Mn2 Mn 0.579 0.579 0.214
```

Properties
SG: C2/m, No. 12
Calculated formation energy in meV/atom: 204
Calculated total energy in eV/f.u.: -50.6
Total moment in μB/cell: 6.2

=====

Entry 5:
TbPuMn4 | PBE | optimized geometry

CIF file:
```
data_TbPuMn4
_chemical_formula_sum 'Tb1 Pu1 Mn4'
_cell_length_a 5.062
_cell_length_b 5.062
_cell_length_c 5.062
_cell_angle_alpha 60.00
_cell_angle_beta 60.00
_cell_angle_gamma 60.00
_symmetry_space_group_name_H-M 'P 1'
_symmetry_Int_Tables_number 1
_symmetry_space_group_name_Hall 'P 1'
loop_
_atom_site_label
_atom_site_type_symbol
_atom_site_fract_x
_atom_site_fract_y
_atom_site_fract_z
Tb1 Tb 0.000 0.000 0.000
Pu1 Pu 0.750 0.750 0.750
Mn1 Mn 0.376 0.376 0.376
Mn2 Mn 0.376 0.376 0.873
Mn3 Mn 0.376 0.873 0.376
Mn4 Mn 0.873 0.376 0.376
```

Properties
SG: F-43m, No. 216
Calculated formation energy in meV/atom: 198
Calculated total energy in eV/f.u.: -54.5
Total moment in μB/cell: 6.8

=====

Entry 6:
Tb2PuMn2 | PBE | optimized geometry

CIF file:
```
data_Tb2PuMn2
_chemical_formula_sum 'Tb2 Pu1 Mn2'
_cell_length_a 4.215
_cell_length_b 4.215
_cell_length_c 7.431
_cell_angle_alpha 90.00
_cell_angle_beta 90.00
_cell_angle_gamma 120.00
_symmetry_space_group_name_H-M 'P 1'
_symmetry_Int_Tables_number 1
_symmetry_space_group_name_Hall 'P 1'
loop_
_atom_site_label
_atom_site_type_symbol
_atom_site_fract_x
_atom_site_fract_y
_atom_site_fract_z
Tb1 Tb 0.333 0.667 0.318
Tb2 Tb 0.667 0.333 0.682
Pu1 Pu 0.000 0.000 0.000
Mn1 Mn 0.333 0.667 0.920
Mn2 Mn 0.667 0.333 0.080
```

Properties
SG: P-3m1, No. 164
Calculated formation energy in meV/atom: 33
Calculated total energy in eV/f.u.: -41.8
Total moment in μB/cell: 1.1

=====

Entry 7:
TbPu2Mn | PBE | optimized geometry

CIF file:
```
data_TbPu2Mn
_chemical_formula_sum 'Tb1 Pu2 Mn1'
_cell_length_a 4.330
_cell_length_b 4.330
_cell_length_c 5.166
_cell_angle_alpha 90.00
_cell_angle_beta 90.00
_cell_angle_gamma 90.00
_symmetry_space_group_name_H-M 'P 1'
_symmetry_Int_Tables_number 1
_symmetry_space_group_name_Hall 'P 1'
loop_
_atom_site_label
_atom_site_type_symbol
_atom_site_fract_x
_atom_site_fract_y
_atom_site_fract_z
Tb1 Tb 0.000 0.000 0.000
Pu1 Pu 0.000 0.500 0.500
Pu2 Pu 0.500 0.000 0.500
Mn1 Mn 0.500 0.500 0.000
```

Properties
SG: P4/mmm, No. 123
Calculated formation energy in meV/atom: 408
Calculated total energy in eV/f.u.: -40.8
Total moment in μB/cell: 15.0
Relative energy among the computed polymorphs in meV per atom: 83.2

=====

Entry 8:
TbPu2Mn | PBE | optimized geometry

CIF file:
```
data_TbPu2Mn
_chemical_formula_sum 'Tb1 Pu2 Mn1'
_cell_length_a 5.747
_cell_length_b 5.747
_cell_length_c 5.747
_cell_angle_alpha 48.13
_cell_angle_beta 48.13
_cell_angle_gamma 48.13
_symmetry_space_group_name_H-M 'P 1'
_symmetry_Int_Tables_number 1
_symmetry_space_group_name_Hall 'P 1'
loop_
_atom_site_label
_atom_site_type_symbol
_atom_site_fract_x
_atom_site_fract_y
_atom_site_fract_z
Tb1 Tb 0.000 0.000 0.000
Pu1 Pu 0.222 0.222 0.222
Pu2 Pu 0.778 0.778 0.778
Mn1 Mn 0.500 0.500 0.500
```

Properties
SG: R-3m, No. 166
Calculated formation energy in meV/atom: 325
Calculated total energy in eV/f.u.: -41.2
Total moment in μB/cell: 9.6
Relative energy among the computed polymorphs in meV per atom: 0.0

=====

Entry 9:
Pu2MnTc | PBE | optimized geometry

CIF file:
```
data_Pu2MnTc
_chemical_formula_sum 'Pu2 Mn1 Tc1'
_cell_length_a 4.758
_cell_length_b 4.758
_cell_length_c 4.758
_cell_angle_alpha 60.00
_cell_angle_beta 60.00
_cell_angle_gamma 60.00
_symmetry_space_group_name_H-M 'P 1'
_symmetry_Int_Tables_number 1
_symmetry_space_group_name_Hall 'P 1'
loop_
_atom_site_label
_atom_site_type_symbol
_atom_site_fract_x
_atom_site_fract_y
_atom_site_fract_z
Pu1 Pu 0.250 0.250 0.250
Pu2 Pu 0.750 0.750 0.750
Mn1 Mn 0.000 0.000 0.000
Tc1 Tc 0.500 0.500 0.500
```

Properties
SG: Fm-3m, No. 225
Calculated formation energy in meV/atom: 90
Calculated total energy in eV/f.u.: -47.8
Total moment in μB/cell: 6.6
Relative energy among the computed polymorphs in meV per atom: 16.5

=====

Entry 10:
Pu2MnTc | PBE | optimized geometry

CIF file:
```
data_Pu2MnTc
_chemical_formula_sum 'Pu2 Mn1 Tc1'
_cell_length_a 3.422
_cell_length_b 3.422
_cell_length_c 6.465
_cell_angle_alpha 90.00
_cell_angle_beta 90.00
_cell_angle_gamma 90.00
_symmetry_space_group_name_H-M 'P 1'
_symmetry_Int_Tables_number 1
_symmetry_space_group_name_Hall 'P 1'
loop_
_atom_site_label
_atom_site_type_symbol
_atom_site_fract_x
_atom_site_fract_y
_atom_site_fract_z
Pu1 Pu 0.000 0.000 0.245
Pu2 Pu 0.000 0.000 0.755
Mn1 Mn 0.500 0.500 0.000
Tc1 Tc 0.500 0.500 0.500
```

Properties
SG: P4/mmm, No. 123
Calculated formation energy in meV/atom: 73
Calculated total energy in eV/f.u.: -47.9
Total moment in μB/cell: 6.6
Relative energy among the computed polymorphs in meV per atom: 0.0

=====

Entry 11:
PuThMnTc | PBE | optimized geometry

CIF file:
```
data_PuThMnTc
_chemical_formula_sum 'Pu1 Th1 Mn1 Tc1'
_cell_length_a 4.912
_cell_length_b 4.912
_cell_length_c 4.912
_cell_angle_alpha 60.00
_cell_angle_beta 60.00
_cell_angle_gamma 60.00
_symmetry_space_group_name_H-M 'P 1'
_symmetry_Int_Tables_number 1
_symmetry_space_group_name_Hall 'P 1'
loop_
_atom_site_label
_atom_site_type_symbol
_atom_site_fract_x
_atom_site_fract_y
_atom_site_fract_z
Pu1 Pu 0.000 0.000 0.000
Th1 Th 0.500 0.500 0.500
Mn1 Mn 0.250 0.250 0.250
Tc1 Tc 0.750 0.750 0.750
```

Properties
SG: F-43m, No. 216
Calculated formation energy in meV/atom: 86
Calculated total energy in eV/f.u.: -40.9
Total moment in μB/cell: 1.9